# 1
An optimized crystal structure of Hf8TlSb2, computed with PBE.

For the energy, the calculation gives -8.276 eV per atom. As for the uncorrected formation energy: -0.0728 eV per atom.

Unit cell a=15.0016 b=5.7944 c=5.7781 alpha=90.00 beta=92.00 gamma=90.00
Closest atoms and distances in Å follow each position.
Space group C2/m (No. 12)
Symmetry-distinct sites (fractional):
Hf 0.0854 0.0000 0.3941  1 Sb 2.80, 3 Hf 2.88-3.12
Hf 0.0918 0.2398 0.8777  2 Hf 2.78-3.02, 2 Sb 2.93-3.00, 1 Tl 2.95
Hf 0.2136 0.5000 0.3640  4 Sb 2.92-3.20
Tl 0.0000 0.5000 0.5000  8 Hf 2.95-3.23
Sb 0.2409 0.0000 0.1402  7 Hf 2.80-3.02

=====

# 2
An optimized crystal structure of Rb2SnI3Br, computed with PBE.

For the energy, the calculation gives -2.873 eV per atom. As for the uncorrected formation energy: -1.1211 eV per atom.

Unit cell a=5.8533 b=6.2096 c=18.8277 alpha=90.00 beta=90.00 gamma=90.00
Closest atoms and distances in Å follow each position.
Space group Immm (No. 71)
Symmetry-distinct sites (fractional):
Rb 0.0000 0.0000 0.1373  3 I 3.65-3.90, 2 Br 4.04
Sn 0.0000 0.0000 0.5000  2 Br 2.93, 4 I 3.10-3.18
I 0.0000 0.0000 0.3312  1 Sn 3.18
I 0.0000 0.5000 0.5000  2 Sn 3.10
Br 0.0000 0.5000 0.0000  2 Sn 2.93

=====

# 3
An optimized crystal structure of CoNi, computed with PBE.

As for the formation energy: 0.01 eV/atom. For the energy, the calculation gives -6.438 eV per atom.

Unit cell a=9.1764 b=2.5051 c=5.8943 alpha=90.00 beta=104.88 gamma=90.00
Closest atoms and distances in Å follow each position.
Space group Cm (No. 8)
Symmetry-distinct sites (fractional):
Co 0.0000 0.0000 0.0000  7 Ni 2.47-2.51, 5 Co 2.48-2.51
Co 0.0551 0.0000 0.6091  5 Co 2.47-2.51, 7 Ni 2.48-2.49
Co 0.1647 0.5000 0.3321  6 Co 2.47-2.51, 6 Ni 2.48-2.50
Ni 0.2198 0.5000 0.9416  6 Co 2.47-2.51, 6 Ni 2.49-2.51
Ni 0.3334 0.0000 0.6655  5 Ni 2.47-2.51, 7 Co 2.48-2.50
Ni 0.3881 0.0000 0.2770  5 Ni 2.47-2.51, 7 Co 2.48-2.49

=====

# 4
An optimized crystal structure of CdOsBrCl, computed with PBE.

The value obtained for the energy above the most stable polymorph in this dataset is 91 kJ/mol of formula units. For the energy, the calculation gives -3.542 eV per atom. As for the uncorrected formation energy: 0.3743 eV per atom.

Unit cell a=4.5704 b=4.8821 c=5.2231 alpha=82.03 beta=82.25 gamma=83.21
Closest atoms and distances in Å follow each position.
Space group P1 (No. 1)
Symmetry-distinct sites (fractional):
Cd 0.0000 0.0000 0.0000  2 Os 2.69
Os 0.9005 0.1066 0.4982  2 Cl 2.35-2.37, 2 Br 2.54
Br 0.7903 0.6023 0.6061  2 Os 2.54
Cl 0.4051 0.1990 0.4105  2 Os 2.35-2.37

=====

# 5
An optimized crystal structure of InAsBr2, computed with PBE.

The value obtained for the energy above the most stable polymorph in this dataset is 125 kJ/mol of formula units. For the energy, the calculation gives -2.681 eV per atom. As for the uncorrected formation energy: 0.0022 eV per atom.

Unit cell a=3.6372 b=6.5641 c=9.5947 alpha=90.00 beta=90.00 gamma=90.00
Closest atoms and distances in Å follow each position.
Space group Cmmm (No. 65)
Symmetry-distinct sites (fractional):
In 0.0000 0.0000 0.0000  4 Br 3.33, 2 In 3.64
As 0.0000 0.0000 0.5000  4 Br 2.71
Br 0.0000 0.5000 0.2903  2 As 2.71

=====

# 6
An optimized crystal structure of Sr2ZrHg, computed with PBE.

As for the formation energy: 0.31 eV/atom. For the energy, the calculation gives -2.748 eV per atom.

Unit cell a=4.8960 b=4.8960 c=10.3276 alpha=90.00 beta=90.00 gamma=90.00
Closest atoms and distances in Å follow each position.
Space group I4/mmm (No. 139)
Symmetry-distinct sites (fractional):
Sr 0.0000 0.5000 0.2500  4 Sr 3.46, 4 Zr 3.56, 4 Hg 3.56
Zr 0.0000 0.0000 0.0000  4 Hg 3.46, 8 Sr 3.56
Hg 0.0000 0.0000 0.5000  4 Zr 3.46, 8 Sr 3.56

=====

# 7
An optimized crystal structure of RbZrV3, computed with PBE.

As for the formation energy: 2.31 eV/atom. The value obtained for the energy above the most stable polymorph in this dataset is 282 kJ/mol of formula units. For the energy, the calculation gives -5.065 eV per atom.

Unit cell a=4.5625 b=4.5625 c=4.5625 alpha=90.00 beta=90.00 gamma=90.00
Closest atoms and distances in Å follow each position.
Space group Pm-3m (No. 221)
Symmetry-distinct sites (fractional):
Rb 0.0000 0.0000 0.0000  6 V 2.28
Zr 0.5000 0.5000 0.5000  12 V 3.23
V 0.0000 0.0000 0.5000  2 Rb 2.28

=====

# 8
An optimized crystal structure of Zr2TcAg, computed with PBE.

As for the formation energy: -0.02 eV/atom. For the energy, the calculation gives -7.601 eV per atom.

Unit cell a=3.4242 b=4.6526 c=9.7039 alpha=90.00 beta=90.00 gamma=90.00
Closest atoms and distances in Å follow each position.
Space group Imm2 (No. 44)
Symmetry-distinct sites (fractional):
Zr 0.0000 0.0000 0.0000  4 Tc 2.89, 4 Ag 3.12-3.24, 4 Zr 3.14-3.22
Zr 0.0000 0.5000 0.2288  2 Tc 2.71, 4 Ag 2.91
Tc 0.0000 0.0000 0.5124  6 Zr 2.71-2.89, 2 Ag 2.92
Ag 0.0000 0.5000 0.7683  8 Zr 2.91-3.24, 2 Tc 2.92

=====

# 9
An optimized crystal structure of SrLa2Si, computed with PBE.

For the energy, the calculation gives -4.320 eV per atom. As for the uncorrected formation energy: -0.0796 eV per atom.

Unit cell a=4.8504 b=4.8504 c=10.1510 alpha=90.00 beta=90.00 gamma=90.00
Closest atoms and distances in Å follow each position.
Space group I4/mmm (No. 139)
Symmetry-distinct sites (fractional):
Sr 0.0000 0.0000 0.0000  4 Si 3.43, 8 La 3.51
La 0.0000 0.5000 0.2500  4 La 3.43, 4 Sr 3.51, 4 Si 3.51
Si 0.0000 0.0000 0.5000  4 Sr 3.43, 8 La 3.51

=====

# 10
An optimized crystal structure of NaCa2SnH, computed with PBE.

For the energy, the calculation gives -3.007 eV per atom.

Unit cell a=5.0308 b=5.0308 c=4.5472 alpha=90.00 beta=90.00 gamma=90.00
Closest atoms and distances in Å follow each position.
Space group P4/mmm (No. 123)
Symmetry-distinct sites (fractional):
Na 0.0000 0.0000 0.0000  2 H 2.27
Ca 0.0000 0.5000 0.5000  2 H 2.52
Sn 0.5000 0.5000 0.0000  8 Ca 3.39, 4 Na 3.56
H 0.0000 0.0000 0.5000  2 Na 2.27, 4 Ca 2.52

=====

# 11
An optimized crystal structure of LaAlSeBr2, computed with PBE.

The value obtained for the energy above the most stable polymorph in this dataset is 97 kJ/mol of formula units. For the energy, the calculation gives -3.889 eV per atom. As for the uncorrected formation energy: -0.7891 eV per atom.

Unit cell a=5.1339 b=5.1339 c=5.1581 alpha=90.00 beta=90.00 gamma=90.00
Closest atoms and distances in Å follow each position.
Space group P4/mmm (No. 123)
Symmetry-distinct sites (fractional):
La 0.0000 0.0000 0.0000  4 Se 3.63, 8 Br 3.64
Al 0.5000 0.5000 0.5000  4 Br 2.57, 2 Se 2.58
Se 0.5000 0.5000 0.0000  2 Al 2.58
Br 0.0000 0.5000 0.5000  2 Al 2.57

=====

# 12
An optimized crystal structure of DyH4Pd5, computed with PBE.

For the energy, the calculation gives -4.768 eV per atom.

Unit cell a=5.7797 b=8.3912 c=4.7645 alpha=90.00 beta=90.00 gamma=90.00
Closest atoms and distances in Å follow each position.
Space group Pmmn (No. 59, origin choice 2)
Symmetry-distinct sites (fractional):
Dy 0.2500 0.2500 0.2253  2 H 2.34
H 0.0589 0.7500 0.4569  3 Pd 1.78-1.86
H 0.2500 0.5307 0.9136  3 Pd 1.89-1.96
Pd 0.0023 0.5798 0.2463  2 H 1.78-1.89
Pd 0.2500 0.7500 0.7698  4 H 1.86-1.96

=====

# 13
An optimized crystal structure of TcMo5W4, computed with PBE.

As for the formation energy: 0.01 eV/atom. For the energy, the calculation gives -11.624 eV per atom.

Unit cell a=3.1683 b=3.1683 c=15.8076 alpha=90.00 beta=90.00 gamma=90.00
Closest atoms and distances in Å follow each position.
Space group P4/mmm (No. 123)
Symmetry-distinct sites (fractional):
Tc 0.0000 0.0000 0.0000  8 Mo 2.74
Mo 0.5000 0.5000 0.0995  4 W 2.73, 4 Tc 2.74
Mo 0.5000 0.5000 0.2989  8 W 2.75
Mo 0.5000 0.5000 0.5000  8 W 2.75
W 0.0000 0.0000 0.1983  8 Mo 2.73-2.75
W 0.0000 0.0000 0.3995  8 Mo 2.75

=====

# 14
An optimized crystal structure of TbSmDy2S4, computed with PBE.

For the energy, the calculation gives -6.386 eV per atom. As for the uncorrected formation energy: -2.0028 eV per atom.

Unit cell a=6.8357 b=3.8999 c=6.8471 alpha=90.00 beta=109.02 gamma=90.00
Closest atoms and distances in Å follow each position.
Space group P2/m (No. 10)
Symmetry-distinct sites (fractional):
Tb 0.0000 0.0000 0.0000  6 S 2.79
Sm 0.5000 0.5000 0.0000  6 S 2.82
Dy 0.0000 0.5000 0.5000  6 S 2.75
Dy 0.5000 0.0000 0.5000  6 S 2.78
S 0.2441 0.0000 0.7426  3 Dy 2.75-2.78, 1 Tb 2.79, 2 Sm 2.82
S 0.2482 0.5000 0.2547  3 Dy 2.75-2.78, 2 Tb 2.79, 1 Sm 2.82

=====

# 15
An optimized crystal structure of Cs3In8Pb3, computed with PBE.

As for the formation energy: -0.07 eV/atom. The value obtained for the energy above the most stable polymorph in this dataset is 8 kJ/mol of formula units. For the energy, the calculation gives -2.610 eV per atom.

Unit cell a=19.4574 b=5.3007 c=11.9937 alpha=90.00 beta=127.92 gamma=90.00
Closest atoms and distances in Å follow each position.
Space group C2/m (No. 12)
Symmetry-distinct sites (fractional):
Cs 0.0000 0.0000 0.0000  4 Pb 3.97, 8 In 3.98-4.08
Cs 0.1959 0.5000 0.6971  4 Pb 3.78-4.01, 10 In 3.81-4.20
In 0.9999 0.5000 0.3011  5 In 3.17-3.45, 1 Pb 3.21
In 0.1403 0.0000 0.4199  5 In 3.09-3.43, 1 Pb 3.41
In 0.1428 0.0000 0.8654  4 Pb 3.18-3.46, 2 In 3.45
In 0.1671 0.5000 0.3122  4 In 3.09-3.17, 1 Pb 3.33
Pb 0.0000 0.0000 0.5000  8 In 3.41-3.57
Pb 0.1620 0.5000 0.0294  5 In 3.18-3.33

=====

# 16
An optimized crystal structure of TbSc3As3, computed with PBE.

As for the formation energy: -1.12 eV/atom. The value obtained for the energy above the most stable polymorph in this dataset is 54 kJ/mol of formula units. For the energy, the calculation gives -6.489 eV per atom.

Unit cell a=8.2047 b=8.2047 c=16.4571 alpha=90.00 beta=90.00 gamma=120.00
Closest atoms and distances in Å follow each position.
Space group R-3 (No. 148, hexagonal axes)
Symmetry-distinct sites (fractional):
Tb 0.0000 0.0000 0.1663  6 As 2.90-2.94
Sc 0.0035 0.2702 0.5878  5 As 2.72-2.97
As 0.0042 0.3721 0.4186  5 Sc 2.72-2.97, 2 Tb 2.90-2.94

=====

# 17
An optimized crystal structure of Rb3Zr3RhSe8, computed with PBE.

For the energy, the calculation gives -5.411 eV per atom. As for the uncorrected formation energy: -1.1597 eV per atom.

Unit cell a=13.4356 b=7.7464 c=9.3633 alpha=90.00 beta=118.61 gamma=90.00
Closest atoms and distances in Å follow each position.
Space group C2/m (No. 12)
Symmetry-distinct sites (fractional):
Rb 0.0000 0.0000 0.0000  6 Se 3.37-3.41
Rb 0.2500 0.2500 0.0000  6 Se 3.37-3.41
Zr 0.0000 0.5000 0.5000  6 Se 2.73-2.75
Zr 0.2500 0.2500 0.5000  6 Se 2.73-2.75
Rh 0.0000 0.0000 0.5000  6 Se 2.63
Se 0.0194 0.2409 0.3175  1 Rh 2.63, 2 Zr 2.73
Se 0.2213 0.0000 0.6823  1 Rh 2.63, 2 Zr 2.73
Se 0.2313 0.5000 0.6939  3 Zr 2.75

=====

# 18
An optimized crystal structure of CoRe2Ni, computed with PBE.

As for the formation energy: 0.07 eV/atom. The value obtained for the energy above the most stable polymorph in this dataset is 43 kJ/mol of formula units. For the energy, the calculation gives -9.380 eV per atom.

Unit cell a=2.6075 b=3.7882 c=5.2132 alpha=90.00 beta=90.00 gamma=90.00
Closest atoms and distances in Å follow each position.
Space group Pmmm (No. 47)
Symmetry-distinct sites (fractional):
Co 0.0000 0.0000 0.0000  2 Ni 2.61, 2 Co 2.61, 8 Re 2.63
Re 0.5000 0.5000 0.2466  4 Re 2.57-2.64, 4 Co 2.63, 4 Ni 2.65
Ni 0.0000 0.0000 0.5000  2 Co 2.61, 2 Ni 2.61, 8 Re 2.65

=====

# 19
An optimized crystal structure of Nd2MgP3Pt4, computed with PBE.

As for the formation energy: -0.97 eV/atom. For the energy, the calculation gives -6.121 eV per atom.

Unit cell a=4.1490 b=4.1490 c=10.6229 alpha=90.00 beta=90.00 gamma=90.00
Closest atoms and distances in Å follow each position.
Space group P-4m2 (No. 115)
Symmetry-distinct sites (fractional):
Nd 0.0000 0.5000 0.2303  4 P 3.10, 8 Pt 3.21-3.22
Mg 0.0000 0.0000 0.5000  4 Pt 2.58
P 0.0000 0.5000 0.8650  5 Pt 2.34-2.52
P 0.5000 0.5000 0.5000  4 Pt 2.58
Pt 0.0000 0.0000 0.0000  4 P 2.52
Pt 0.0000 0.5000 0.6445  3 P 2.34-2.58, 2 Mg 2.58
Pt 0.5000 0.5000 0.0000  4 P 2.52

=====

# 20
An optimized crystal structure of HfPWS2, computed with PBE.

The value obtained for the energy above the most stable polymorph in this dataset is 25 kJ/mol of formula units. For the energy, the calculation gives -6.928 eV per atom. As for the uncorrected formation energy: 0.3866 eV per atom.

Unit cell a=4.4458 b=4.4458 c=5.6878 alpha=90.00 beta=90.00 gamma=90.00
Closest atoms and distances in Å follow each position.
Space group P4/mmm (No. 123)
Symmetry-distinct sites (fractional):
Hf 0.0000 0.0000 0.0000  2 W 2.84, 4 P 3.14
P 0.5000 0.5000 0.0000  4 Hf 3.14
W 0.0000 0.0000 0.5000  4 S 2.22
S 0.0000 0.5000 0.5000  2 W 2.22

=====

# 21
An optimized crystal structure of Ca5MnP3, computed with PBE.

As for the formation energy: -0.61 eV/atom. For the energy, the calculation gives -4.547 eV per atom.

Unit cell a=8.5042 b=8.5042 c=6.7936 alpha=90.00 beta=90.00 gamma=120.00
Closest atoms and distances in Å follow each position.
Space group P6_3/mcm (No. 193)
Symmetry-distinct sites (fractional):
Ca 0.0000 0.2789 0.2500  3 P 2.88-2.92, 2 Mn 2.92
Ca 0.3333 0.6667 0.0000  6 P 3.15, 2 Ca 3.40
Mn 0.0000 0.0000 0.0000  6 Ca 2.92
P 0.0000 0.3827 0.7500  7 Ca 2.88-3.15

=====

# 22
An optimized crystal structure of TaTlS4, computed with PBE.

The value obtained for the energy above the most stable polymorph in this dataset is 0 kJ/mol of formula units. For the energy, the calculation gives -5.759 eV per atom. As for the uncorrected formation energy: -0.6380 eV per atom.

Unit cell a=7.8401 b=13.6743 c=6.5252 alpha=90.00 beta=92.63 gamma=90.00
Closest atoms and distances in Å follow each position.
Space group C2/c (No. 15)
Symmetry-distinct sites (fractional):
Ta 0.0000 0.0552 0.2500  6 S 2.39-2.49
Tl 0.0000 0.3635 0.7500  8 S 3.32-3.41
S 0.0922 0.2145 0.1409  1 S 2.08
S 0.2109 0.0069 0.5064  2 Ta 2.39-2.49

=====

# 23
An optimized crystal structure of AlCrFe, computed with PBE.

As for the formation energy: 0.17 eV/atom. For the energy, the calculation gives -7.103 eV per atom.

Unit cell a=7.5785 b=7.9125 c=11.1279 alpha=90.00 beta=90.00 gamma=90.00
Closest atoms and distances in Å follow each position.
Space group Fddd (No. 70, origin choice 2)
Symmetry-distinct sites (fractional):
Al 0.1250 0.1250 0.0031  4 Fe 2.45-2.55, 3 Al 2.71-2.74, 3 Cr 2.71-2.74
Cr 0.1250 0.1250 0.4908  4 Fe 2.21-2.38
Fe 0.0895 0.3750 0.8750  4 Cr 2.21-2.38, 2 Al 2.45

=====

# 24
An optimized crystal structure of P2Rh2Au, computed with PBE.

As for the formation energy: -0.23 eV/atom. The value obtained for the energy above the most stable polymorph in this dataset is 0 kJ/mol of formula units. For the energy, the calculation gives -5.991 eV per atom.

Unit cell a=3.6952 b=3.6952 c=11.5228 alpha=90.00 beta=90.00 gamma=90.00
Closest atoms and distances in Å follow each position.
Space group I4/mmm (No. 139)
Symmetry-distinct sites (fractional):
P 0.0000 0.5000 0.2500  4 Rh 2.34, 4 P 2.61
Rh 0.0000 0.0000 0.1251  4 P 2.34
Au 0.0000 0.0000 0.5000  8 Rh 2.98